Entry 1:
# Cs2TiGaI6 | Alexandria | PBE-GGA | optimized geometry
data_Cs2TiGaI6
_chemical_formula_sum 'Cs4 Ti2 Ga2 I12'
_cell_length_a 8.520
_cell_length_b 12.062
_cell_length_c 8.543
_cell_angle_alpha 90.00
_cell_angle_beta 90.00
_cell_angle_gamma 90.00
_symmetry_space_group_name_H-M 'P m m n'
_symmetry_Int_Tables_number 59
loop_
_symmetry_equiv_pos_as_xyz
'x,y,z'
'-x,-y,-z'
'-x+1/2,-y+1/2,z'
'x+1/2,y+1/2,-z'
'x+1/2,-y,-z'
'-x+1/2,y,z'
'-x,y+1/2,-z'
'x,-y+1/2,z'
loop_
_atom_site_label
_atom_site_fract_x
_atom_site_fract_y
_atom_site_fract_z
_atom_site_occupancy
Cs1 0.250 0.000 0.250 1
Ti1 0.250 0.250 0.750 1
Ga1 0.250 0.750 0.750 1
I1 0.015 0.250 0.515 1
I2 0.015 0.250 0.984 1
I3 0.250 0.015 0.749 1
# - ΔE_f (raw) (eV/atom) = -0.9862
# - ρ (g/cm3) = 4.33
# - size of the total moment (Bohr magnetons per cell) = 2.000

---

Entry 2:
# CsTl2GaI4 | Alexandria | PBE-GGA | optimized geometry
data_CsTl2GaI4
_chemical_formula_sum 'Cs4 Tl8 Ga4 I16'
_cell_length_a 5.298
_cell_length_b 17.241
_cell_length_c 17.059
_cell_angle_alpha 90.00
_cell_angle_beta 90.00
_cell_angle_gamma 90.00
_symmetry_space_group_name_H-M 'C m c m'
_symmetry_Int_Tables_number 63
_symmetry_space_group_name_Hall '-C 2c 2'
loop_
_atom_site_label
_atom_site_fract_x
_atom_site_fract_y
_atom_site_fract_z
_atom_site_occupancy
Cs1 0.000 0.126 0.250 1
Tl1 0.000 0.376 0.051 1
Ga1 0.000 0.142 0.750 1
I1 0.000 0.000 0.000 1
I2 0.000 0.263 0.616 1
I3 0.000 0.461 0.250 1
# - ΔE_f (raw) (eV/atom) = -0.7726
# - ρ (g/cm3) = 4.77
# - size of the total moment (Bohr magnetons per cell) = 0.000

---

Number 1: E -3.179 eV/atom. Number 2: E -2.624 eV/atom.